No. 1
# PaTiAlFe

An optimized crystal structure of PaTiAlFe (PBE, the Alexandria database).

Summary:
Energy of formation from the pure elements ... -15.4 kJ/mol of atoms
Crystal system ... cubic
SG ... No. 216

Lattice parameters (Å, degrees): 4.5318 4.5318 4.5318 60.00 60.00 60.00
Sites, in units of the cell vectors:
Al (0.2500, 0.2500, 0.2500)
Pa (0.7500, 0.7500, 0.7500)
Fe (0.5000, 0.5000, 0.5000)
Ti (0.0000, 0.0000, 0.0000)

***

No. 2
# CaPm3S

An optimized crystal structure of CaPm3S (PBE, the Alexandria database).

Summary:
E_form (uncorrected) ... -0.6946 eV/atom
Crystal system ... cubic
SG ... No. 221

Lattice parameters (Å, degrees): 5.5103 5.5103 5.5103 90.00 90.00 90.00
Sites, in units of the cell vectors:
Ca (0.5000, 0.5000, 0.5000)
S (0.0000, 0.0000, 0.0000)
Pm (0.0000, 0.5000, 0.0000)
Pm (0.0000, 0.0000, 0.5000)
Pm (0.5000, 0.0000, 0.0000)

***

No. 3
# TlIn2ReCl

An optimized crystal structure of TlIn2ReCl (PBE, the Alexandria database).

Summary:
E_form (uncorrected) ... 0.3256 eV/atom
Crystal system ... tetragonal
SG ... No. 123

Lattice parameters (Å, degrees): 5.2861 5.3536 5.2861 90.00 90.00 90.00
Sites, in units of the cell vectors:
Re (0.0000, 0.0000, 0.0000)
Tl (0.0000, 0.5000, 0.0000)
Cl (0.5000, 0.5000, 0.5000)
In (0.0000, 0.0000, 0.5000)
In (0.5000, 0.0000, 0.0000)

***

No. 4
# CsTcP3

An optimized crystal structure of CsTcP3 (PBE, the Alexandria database).

Summary:
Energy of formation from the pure elements ... 284.5 kJ/mol of atoms
Crystal system ... cubic
SG ... No. 221

Lattice parameters (Å, degrees): 5.1847 5.1847 5.1847 90.00 90.00 90.00
Sites, in units of the cell vectors:
Cs (0.0000, 0.0000, 0.0000)
P (0.0000, 0.5000, 0.0000)
P (0.0000, 0.0000, 0.5000)
P (0.5000, 0.0000, 0.0000)
Tc (0.5000, 0.5000, 0.5000)

***

No. 5
# NaYPd3

An optimized crystal structure of NaYPd3 (PBE, the Alexandria database).

Summary:
Energy of formation from the pure elements ... 15.3 kJ/mol of atoms
Crystal system ... cubic
SG ... No. 221

Lattice parameters (Å, degrees): 4.6720 4.6720 4.6720 90.00 90.00 90.00
Sites, in units of the cell vectors:
Y (0.5000, 0.5000, 0.5000)
Na (0.0000, 0.0000, 0.0000)
Pd (0.0000, 0.5000, 0.0000)
Pd (0.0000, 0.0000, 0.5000)
Pd (0.5000, 0.0000, 0.0000)

***

No. 6
# SrYTc2

An optimized crystal structure of SrYTc2 (PBE, the Alexandria database).

Summary:
Energy of formation from the pure elements ... 33.3 kJ/mol of atoms
Crystal system ... monoclinic
SG ... No. 6

Lattice parameters (Å, degrees): 4.1431 3.3984 7.7051 76.21 90.00 90.00
Sites, in units of the cell vectors:
Sr (0.5000, 0.7695, 0.8137)
Tc (0.0000, 0.0516, 0.0790)
Tc (0.5000, 0.1890, 0.2023)
Y (0.0000, 0.4899, 0.4050)

***

No. 7
# Zr2CrOs

An optimized crystal structure of Zr2CrOs (PBE, the Alexandria database).

Summary:
Energy of formation from the pure elements ... 11.5 kJ/mol of atoms
Crystal system ... monoclinic
SG ... No. 10

Lattice parameters (Å, degrees): 4.3420 2.9525 5.4515 80.99 90.00 90.00
Sites, in units of the cell vectors:
Cr (0.5000, 0.2500, 0.2500)
Os (0.5000, 0.7500, 0.7500)
Zr (0.0000, 0.0088, 0.0011)
Zr (0.0000, 0.4912, 0.4989)

***

No. 8
# K2U3O8

An optimized crystal structure of K2U3O8 (PBE, the Alexandria database).

Summary:
E_form (uncorrected) ... -2.8943 eV/atom
Crystal system ... monoclinic
SG ... No. 12

Lattice parameters (Å, degrees): 6.0317 7.2787 7.2787 57.80 72.10 72.10
Sites, in units of the cell vectors:
K (0.3479, 0.7106, 0.7106)
K (0.6521, 0.2894, 0.2894)
U (0.5000, 0.0000, 0.0000)
U (0.0000, 0.7432, 0.2568)
U (0.0000, 0.2568, 0.7432)
O (0.9636, 0.4044, 0.4044)
O (0.0364, 0.5956, 0.5956)
O (0.9037, 0.9133, 0.9133)
O (0.0963, 0.0867, 0.0867)
O (0.6237, 0.3014, 0.8755)
O (0.6237, 0.8755, 0.3014)
O (0.3763, 0.1245, 0.6986)
O (0.3763, 0.6986, 0.1245)

***

No. 9
# CeHgRh

An optimized crystal structure of CeHgRh (PBE, the Alexandria database).

Summary:
Energy of formation from the pure elements ... -60.8 kJ/mol of atoms
Crystal system ... orthorhombic
SG ... No. 63

Lattice parameters (Å, degrees): 3.9675 3.7706 9.2099 101.81 90.00 90.00
Sites, in units of the cell vectors:
Ce (0.2500, 0.9068, 0.8135)
Ce (0.7500, 0.0932, 0.1865)
Hg (0.7500, 0.2890, 0.5781)
Hg (0.2500, 0.7110, 0.4219)
Rh (0.2500, 0.5575, 0.1150)
Rh (0.7500, 0.4425, 0.8850)

***

No. 10
# Hf2MoAu

An optimized crystal structure of Hf2MoAu (PBE, the Alexandria database).

Summary:
Energy of formation from the pure elements ... -29.2 kJ/mol of atoms
Crystal system ... tetragonal
SG ... No. 123

Lattice parameters (Å, degrees): 3.4438 4.6680 4.6680 90.00 90.00 90.00
Sites, in units of the cell vectors:
Hf (0.0000, 0.0000, 0.5000)
Hf (0.0000, 0.5000, 0.0000)
Mo (0.5000, 0.0000, 0.0000)
Au (0.5000, 0.5000, 0.5000)

***

No. 11
# TiAgAsBr2

An optimized crystal structure of TiAgAsBr2 (PBE, the Alexandria database).

Summary:
E_form (uncorrected) ... -0.1351 eV/atom
Crystal system ... tetragonal
SG ... No. 123

Lattice parameters (Å, degrees): 5.0474 5.0474 5.1106 90.00 90.00 90.00
Sites, in units of the cell vectors:
As (0.0000, 0.0000, 0.5000)
Br (0.0000, 0.5000, 0.0000)
Br (0.5000, 0.0000, 0.0000)
Ag (0.5000, 0.5000, 0.5000)
Ti (0.0000, 0.0000, 0.0000)

***

No. 12
# Sm2Y3Er6Sc

An optimized crystal structure of Sm2Y3Er6Sc (PBE, the Alexandria database).

Summary:
Energy of formation from the pure elements ... 3.0 kJ/mol of atoms
Crystal system ... monoclinic
SG ... No. 12

Lattice parameters (Å, degrees): 6.0960 6.0960 11.6910 94.97 94.97 119.96
Sites, in units of the cell vectors:
Sm (0.3335, 0.6665, 0.0000)
Sm (0.6665, 0.3335, 0.0000)
Y (0.1663, 0.8337, 0.5000)
Y (0.8337, 0.1663, 0.5000)
Y (0.5000, 0.5000, 0.5000)
Er (0.9173, 0.5867, 0.7518)
Er (0.7521, 0.7521, 0.2485)
Er (0.0827, 0.4133, 0.2482)
Er (0.5867, 0.9173, 0.7518)
Er (0.2479, 0.2479, 0.7515)
Er (0.4133, 0.0827, 0.2482)
Sc (0.0000, 0.0000, 0.0000)

***

No. 13
# SrCdOs2O8

An optimized crystal structure of SrCdOs2O8 (PBE, the Alexandria database).

Summary:
E_form (uncorrected) ... -1.2045 eV/atom
Crystal system ... trigonal
SG ... No. 147

Lattice parameters (Å, degrees): 5.9303 5.9303 7.2518 90.00 90.00 120.00
Sites, in units of the cell vectors:
Sr (0.0000, 0.0000, 0.0000)
Cd (0.0000, 0.0000, 0.5000)
Os (0.6667, 0.3333, 0.2201)
Os (0.3333, 0.6667, 0.7799)
O (0.3333, 0.6667, 0.0274)
O (0.3225, 0.1633, 0.2783)
O (0.8367, 0.1592, 0.2783)
O (0.6667, 0.3333, 0.9726)
O (0.1633, 0.8408, 0.7217)
O (0.6775, 0.8367, 0.7217)
O (0.1592, 0.3225, 0.7217)
O (0.8408, 0.6775, 0.2783)

***

No. 14
# Co2NiSn6

An optimized crystal structure of Co2NiSn6 (PBE, the Alexandria database).

Summary:
Energy of formation from the pure elements ... 0.3 kJ/mol of atoms
Crystal system ... monoclinic
SG ... No. 14

Lattice parameters (Å, degrees): 6.5899 6.4777 9.0750 90.00 106.24 90.00
Sites, in units of the cell vectors:
Co (0.9736, 0.3663, 0.7787)
Co (0.5264, 0.8663, 0.7213)
Co (0.4736, 0.1337, 0.2787)
Co (0.0264, 0.6337, 0.2213)
Ni (0.5000, 0.5000, 0.0000)
Ni (0.0000, 0.0000, 0.5000)
Sn (0.7951, 0.9593, 0.2196)
Sn (0.8087, 0.6807, 0.5923)
Sn (0.8192, 0.6664, 0.9288)
Sn (0.6808, 0.1664, 0.5712)
Sn (0.6913, 0.1807, 0.9077)
Sn (0.7049, 0.4593, 0.2804)
Sn (0.2049, 0.0407, 0.7804)
Sn (0.1913, 0.3193, 0.4077)
Sn (0.1808, 0.3336, 0.0712)
Sn (0.3192, 0.8336, 0.4288)
Sn (0.3087, 0.8193, 0.0923)
Sn (0.2951, 0.5407, 0.7196)

***

No. 15
# LiCdTc2

An optimized crystal structure of LiCdTc2 (PBE, the Alexandria database).

Summary:
Energy of formation from the pure elements ... 48.2 kJ/mol of atoms
Crystal system ... tetragonal
SG ... No. 123

Lattice parameters (Å, degrees): 3.2887 3.2887 5.7463 90.00 90.00 90.00
Sites, in units of the cell vectors:
Cd (0.5000, 0.5000, 0.2500)
Li (0.5000, 0.5000, 0.7500)
Tc (0.0000, 0.0000, 0.9433)
Tc (0.0000, 0.0000, 0.5567)

***

No. 16
# NaPuSb2

An optimized crystal structure of NaPuSb2 (PBE, the Alexandria database).

Summary:
E_form (uncorrected) ... -0.3500 eV/atom
Crystal system ... cubic
SG ... No. 225

Lattice parameters (Å, degrees): 5.3446 5.3446 5.3446 60.00 60.00 60.00
Sites, in units of the cell vectors:
Sb (0.2500, 0.2500, 0.2500)
Sb (0.7500, 0.7500, 0.7500)
Na (0.0000, 0.0000, 0.0000)
Pu (0.5000, 0.5000, 0.5000)

***

No. 17
# InRuI2N

An optimized crystal structure of InRuI2N (PBE, the Alexandria database).

Summary:
E_form (uncorrected) ... 1.3650 eV/atom
Crystal system ... tetragonal
SG ... No. 123

Lattice parameters (Å, degrees): 6.0105 6.0105 4.0114 90.00 90.00 90.00
Sites, in units of the cell vectors:
I (0.0000, 0.5000, 0.0000)
I (0.5000, 0.0000, 0.0000)
Ru (0.5000, 0.5000, 0.5000)
N (0.0000, 0.0000, 0.5000)
In (0.0000, 0.0000, 0.0000)

***

No. 18
# CoHgSb2Te

An optimized crystal structure of CoHgSb2Te (PBE, the Alexandria database).

Summary:
E_form (uncorrected) ... 1.3464 eV/atom
Crystal system ... tetragonal
SG ... No. 123

Lattice parameters (Å, degrees): 5.4941 5.4941 5.6668 90.00 90.00 90.00
Sites, in units of the cell vectors:
Sb (0.0000, 0.5000, 0.0000)
Sb (0.5000, 0.0000, 0.0000)
Te (0.0000, 0.0000, 0.5000)
Co (0.5000, 0.5000, 0.5000)
Hg (0.0000, 0.0000, 0.0000)

***

No. 19
# GdHO2

An optimized crystal structure of GdHO2 (PBE, the Alexandria database).

Summary:
Crystal system ... monoclinic
Energy ... -9.435 eV per atom
SG ... No. 11

Lattice parameters (Å, degrees): 3.7379 4.3779 6.1258 71.24 90.00 90.00
Sites, in units of the cell vectors:
Gd (0.2500, 0.6674, 0.1894)
Gd (0.7500, 0.3326, 0.8106)
H (0.2500, 0.0213, 0.5726)
H (0.7500, 0.9787, 0.4274)
O (0.2500, 0.2361, 0.0466)
O (0.7500, 0.7639, 0.9534)
O (0.2500, 0.2484, 0.5611)
O (0.7500, 0.7516, 0.4389)

***

No. 20
# RbTl2CdHg

An optimized crystal structure of RbTl2CdHg (PBE, the Alexandria database).

Summary:
Energy of formation from the pure elements ... -7.6 kJ/mol of atoms
Crystal system ... orthorhombic
SG ... No. 44

Lattice parameters (Å, degrees): 5.0884 5.1664 7.4816 110.20 109.88 90.00
Sites, in units of the cell vectors:
Rb (0.4384, 0.4384, 0.8768)
Tl (0.6986, 0.1986, 0.3971)
Tl (0.0589, 0.0589, 0.1178)
Cd (0.1912, 0.6912, 0.3824)
Hg (0.8251, 0.8251, 0.6502)

***

Looking at total magnetization for the records above, in order, we have 0.00, 0.00, 0.67, 0.01, 0.00, 0.00, 0.00, 4.00, 0.40, 0.00, 0.00, 0.00, 4.01, 0.00, 0.00, 5.49, 3.12, 2.47, 14.00, 0.00 μB per cell.